Record 1
Cs2AgSn7 after structural relaxation. Source: Alexandria via LeMat-Bulk, functional GGA-PBE.

Results
As for the total energy: -3.3712 eV per atom. The calculation puts the energy of formation from the pure elements at -0.1134 eV/atom. Its space-group type is P-4m2, No. 115. The total magnetic moment comes out at 0.0 μB/f.u.

Cell: 5.1564 5.1564 12.9812 Å, 90.00 90.00 90.00°
With the nearest neighbours (Å) after each atom.
Element x y z (fractional)
Cs  0.0000  0.5000  0.2458  14 Sn 3.99-4.19, 2 Ag 4.10
Cs  0.5000  0.0000  0.7542  14 Sn 3.99-4.19, 2 Ag 4.10
Ag  0.5000  0.5000  0.0000  4 Sn 3.00
Sn  0.0000  0.0000  0.0000  4 Sn 3.00
Sn  0.0000  0.0000  0.5000  4 Sn 3.07
Sn  0.0000  0.5000  0.6290  5 Sn 3.07-3.29
Sn  0.0000  0.5000  0.8825  3 Sn 3.00-3.29, 2 Ag 3.00
Sn  0.5000  0.0000  0.1175  3 Sn 3.00-3.29, 2 Ag 3.00
Sn  0.5000  0.0000  0.3710  5 Sn 3.07-3.29
Sn  0.5000  0.5000  0.5000  4 Sn 3.07

Record 2
CsAg2Sn2 after structural relaxation. Source: Alexandria via LeMat-Bulk, functional GGA-PBE.

Results
As for the total energy: -2.8368 eV per atom. The calculation puts the energy of formation from the pure elements at 0.0756 eV/atom. Its space-group type is P4/mbm, No. 127. The total magnetic moment comes out at 0.0 μB/f.u.

Cell: 9.3168 9.3168 3.2439 Å, 90.00 90.00 90.00°
With the nearest neighbours (Å) after each atom.
Element x y z (fractional)
Cs  0.0000  0.0000  0.0000  2 Cs 3.24, 4 Sn 3.63
Cs  0.5000  0.5000  0.0000  2 Cs 3.24, 4 Sn 3.63
Ag  0.1468  0.3532  0.5000  6 Sn 3.08-3.31, 2 Ag 3.24
Ag  0.3532  0.8532  0.5000  6 Sn 3.08-3.31, 2 Ag 3.24
Ag  0.6468  0.1468  0.5000  6 Sn 3.08-3.31, 2 Ag 3.24
Ag  0.8532  0.6468  0.5000  6 Sn 3.08-3.31, 2 Ag 3.24
Sn  0.1344  0.6344  0.0000  6 Ag 3.08-3.31, 2 Sn 3.24
Sn  0.3656  0.1344  0.0000  6 Ag 3.08-3.31, 2 Sn 3.24
Sn  0.6344  0.8656  0.0000  6 Ag 3.08-3.31, 2 Sn 3.24
Sn  0.8656  0.3656  0.0000  6 Ag 3.08-3.31, 2 Sn 3.24

Record 3
CsAgSn2 after structural relaxation. Source: Alexandria via LeMat-Bulk, functional GGA-PBE.

Results
As for the total energy: -3.0919 eV per atom. The calculation puts the energy of formation from the pure elements at -0.1643 eV/atom. Its space-group type is Pmmn, No. 59. The total magnetic moment comes out at 0.0 μB/f.u.

Cell: 4.6216 8.0018 7.9285 Å, 90.00 90.00 90.00°
With the nearest neighbours (Å) after each atom.
Element x y z (fractional)
Cs  0.2500  0.2500  0.1124  6 Sn 3.88-4.03, 2 Ag 4.15
Cs  0.7500  0.7500  0.8876  6 Sn 3.88-4.03, 2 Ag 4.15
Ag  0.2500  0.7500  0.4530  6 Sn 2.88-2.89
Ag  0.7500  0.2500  0.5470  6 Sn 2.88-2.89
Sn  0.2500  0.0562  0.6433  3 Ag 2.88-2.89, 1 Sn 3.10
Sn  0.2500  0.4438  0.6433  3 Ag 2.88-2.89, 1 Sn 3.10
Sn  0.7500  0.5562  0.3567  3 Ag 2.88-2.89, 1 Sn 3.10
Sn  0.7500  0.9438  0.3567  3 Ag 2.88-2.89, 1 Sn 3.10

Record 4
CsAgSn3 after structural relaxation. Source: Alexandria via LeMat-Bulk, functional GGA-PBE.

Results
As for the total energy: -2.9025 eV per atom. The calculation puts the energy of formation from the pure elements at 0.2402 eV/atom. Its space-group type is Pm-3m, No. 221. The total magnetic moment comes out at 0.0 μB/f.u.

Cell: 5.6060 5.6060 5.6060 Å, 90.00 90.00 90.00°
With the nearest neighbours (Å) after each atom.
Element x y z (fractional)
Cs  0.0000  0.0000  0.0000  12 Sn 3.96
Ag  0.5000  0.5000  0.5000  6 Sn 2.80
Sn  0.0000  0.5000  0.5000  2 Ag 2.80
Sn  0.5000  0.0000  0.5000  2 Ag 2.80
Sn  0.5000  0.5000  0.0000  2 Ag 2.80

Record 5
CsAgSn3 after structural relaxation. Source: Alexandria via LeMat-Bulk, functional GGA-PBE.

Results
As for the total energy: -3.2956 eV per atom. The calculation puts the energy of formation from the pure elements at -0.1529 eV/atom. Its space-group type is Fmm2, No. 42. The total magnetic moment comes out at 0.0 μB/f.u.

Cell: 7.1594 7.1586 5.0253 Å, 69.46 69.44 41.09°
With the nearest neighbours (Å) after each atom.
Element x y z (fractional)
Cs  0.0000  0.0000  0.0000  12 Sn 3.81-4.06, 4 Ag 3.88
Ag  0.6250  0.6250  0.3750  5 Sn 2.91-2.94
Sn  0.2434  0.2434  0.2566  2 Ag 2.91, 2 Sn 3.09
Sn  0.3887  0.3887  0.6113  1 Ag 2.94, 4 Sn 3.09
Sn  0.7434  0.7434  0.7566  2 Ag 2.91, 2 Sn 3.09

Record 6
Cs3Ag2Sn5 after structural relaxation. Source: Alexandria via LeMat-Bulk, functional GGA-PBE.

Results
As for the total energy: -2.9418 eV per atom. The calculation puts the energy of formation from the pure elements at -0.1141 eV/atom. Its space-group type is Ibam, No. 72. The total magnetic moment comes out at 0.0 μB/f.u.

Cell: 10.4904 10.4904 10.4904 Å, 110.54 85.26 137.03°
With the nearest neighbours (Å) after each atom.
Element x y z (fractional)
Cs  0.1239  0.7396  0.8635  1 Ag 3.41
Cs  0.2500  0.2500  0.0000  4 Ag 3.65, 2 Cs 3.84, 2 Sn 3.88
Cs  0.3761  0.2396  0.6157  1 Ag 3.41
Cs  0.6239  0.7604  0.3843  1 Ag 3.41
Cs  0.7500  0.7500  0.0000  4 Ag 3.65, 2 Cs 3.84, 2 Sn 3.88
Cs  0.8761  0.2604  0.1365  1 Ag 3.41
Ag  0.1678  0.1436  0.3114  3 Sn 2.82-2.88
Ag  0.3322  0.6436  0.9759  3 Sn 2.82-2.88
Ag  0.6678  0.3564  0.0241  3 Sn 2.82-2.88
Ag  0.8322  0.8564  0.6886  3 Sn 2.82-2.88
Sn  0.0016  0.7500  0.2516  2 Ag 2.88, 2 Sn 3.08
Sn  0.1273  0.3735  0.5007  1 Ag 2.82, 4 Sn 3.08-3.14
Sn  0.2500  0.7500  0.5000  4 Sn 3.14
Sn  0.3727  0.8735  0.2462  1 Ag 2.82, 4 Sn 3.08-3.14
Sn  0.4984  0.7500  0.7484  2 Ag 2.88, 2 Sn 3.08
Sn  0.5016  0.2500  0.2516  2 Ag 2.88, 2 Sn 3.08
Sn  0.6273  0.1265  0.7538  1 Ag 2.82, 4 Sn 3.08-3.14
Sn  0.7500  0.2500  0.5000  4 Sn 3.14
Sn  0.8727  0.6265  0.4993  1 Ag 2.82, 4 Sn 3.08-3.14
Sn  0.9984  0.2500  0.7484  2 Ag 2.88, 2 Sn 3.08

Record 7
CsAgSn3 after structural relaxation. Source: Alexandria via LeMat-Bulk, functional GGA-PBE.

Results
As for the total energy: -1.5945 eV per atom. The calculation puts the energy of formation from the pure elements at 1.5482 eV/atom. Its space-group type is Pm-3m, No. 221. The total magnetic moment comes out at 0.0 μB/f.u.

Cell: 6.2036 6.2036 6.2036 Å, 90.00 90.00 90.00°
With the nearest neighbours (Å) after each atom.
Element x y z (fractional)
Cs  0.0000  0.0000  0.0000  6 Sn 3.10
Ag  0.5000  0.5000  0.5000  12 Sn 4.39
Sn  0.0000  0.0000  0.5000  2 Cs 3.10
Sn  0.0000  0.5000  0.0000  2 Cs 3.10
Sn  0.5000  0.0000  0.0000  2 Cs 3.10

Record 8
CsAgSn after structural relaxation. Source: Alexandria via LeMat-Bulk, functional GGA-PBE.

Results
As for the total energy: -2.5833 eV per atom. The calculation puts the energy of formation from the pure elements at -0.0140 eV/atom. Its space-group type is I4mm, No. 107. The total magnetic moment comes out at 0.0 μB/f.u.

Cell: 7.4363 7.4363 7.4363 Å, 149.73 149.73 43.33°
With the nearest neighbours (Å) after each atom.
Element x y z (fractional)
Cs  0.0000  0.0000  0.0000  4 Cs 3.88, 5 Ag 3.91-4.07, 5 Sn 3.93-4.05
Ag  0.2827  0.2827  0.0000  4 Sn 2.90
Sn  0.7155  0.7155  0.0000  4 Ag 2.90

Record 9
CsAg9Sn4 after structural relaxation. Source: Alexandria via LeMat-Bulk, functional GGA-PBE.

Results
As for the total energy: -3.0879 eV per atom. The calculation puts the energy of formation from the pure elements at -0.0503 eV/atom. Its space-group type is I4/mcm, No. 140. The total magnetic moment comes out at 0.0 μB/f.u.

Cell: 9.6845 9.6845 9.6845 Å, 120.54 120.54 89.07°
With the nearest neighbours (Å) after each atom.
Element x y z (fractional)
Cs  0.2500  0.2500  0.0000  8 Sn 3.95, 16 Ag 3.98-4.01
Cs  0.7500  0.7500  0.0000  8 Sn 3.95, 16 Ag 3.98-4.01
Ag  0.0000  0.5000  0.5000  8 Ag 2.90-2.92, 4 Sn 2.98
Ag  0.0573  0.7961  0.8533  5 Ag 2.88-3.07, 4 Sn 3.01-3.04
Ag  0.0634  0.5634  0.2696  4 Sn 2.86-3.04, 6 Ag 2.92-3.13
Ag  0.2039  0.0573  0.2612  5 Ag 2.88-3.07, 4 Sn 3.01-3.04
Ag  0.2062  0.9366  0.5000  4 Sn 2.86-3.04, 6 Ag 2.92-3.13
Ag  0.2938  0.7938  0.7304  4 Sn 2.86-3.04, 6 Ag 2.92-3.13
Ag  0.2961  0.5573  0.8533  5 Ag 2.88-3.07, 4 Sn 3.01-3.04
Ag  0.4366  0.7062  0.5000  4 Sn 2.86-3.04, 6 Ag 2.92-3.13
Ag  0.4427  0.2961  0.7388  5 Ag 2.88-3.07, 4 Sn 3.01-3.04
Ag  0.5000  0.0000  0.5000  8 Ag 2.90-2.92, 4 Sn 2.98
Ag  0.5573  0.7039  0.2612  5 Ag 2.88-3.07, 4 Sn 3.01-3.04
Ag  0.5634  0.2938  0.5000  4 Sn 2.86-3.04, 6 Ag 2.92-3.13
Ag  0.7039  0.4427  0.1467  5 Ag 2.88-3.07, 4 Sn 3.01-3.04
Ag  0.7062  0.2062  0.2696  4 Sn 2.86-3.04, 6 Ag 2.92-3.13
Ag  0.7938  0.0634  0.5000  4 Sn 2.86-3.04, 6 Ag 2.92-3.13
Ag  0.7961  0.9427  0.7388  5 Ag 2.88-3.07, 4 Sn 3.01-3.04
Ag  0.9366  0.4366  0.7304  4 Sn 2.86-3.04, 6 Ag 2.92-3.13
Ag  0.9427  0.2039  0.1467  5 Ag 2.88-3.07, 4 Sn 3.01-3.04
Sn  0.0621  0.1973  0.5000  9 Ag 2.86-3.04
Sn  0.1973  0.6973  0.1352  9 Ag 2.86-3.04
Sn  0.3027  0.4379  0.5000  9 Ag 2.86-3.04
Sn  0.4379  0.9379  0.1352  9 Ag 2.86-3.04
Sn  0.5621  0.0621  0.8648  9 Ag 2.86-3.04
Sn  0.6973  0.5621  0.5000  9 Ag 2.86-3.04
Sn  0.8027  0.3027  0.8648  9 Ag 2.86-3.04
Sn  0.9379  0.8027  0.5000  9 Ag 2.86-3.04

Record 10
CsAgSn2 after structural relaxation. Source: Alexandria via LeMat-Bulk, functional GGA-PBE.

Results
As for the total energy: -3.0873 eV per atom. The calculation puts the energy of formation from the pure elements at -0.1597 eV/atom. Its space-group type is R-3m, No. 166. The total magnetic moment comes out at 0.0 μB/f.u.

Cell: 7.8755 7.8755 7.8755 Å, 35.19 35.19 35.19°
With the nearest neighbours (Å) after each atom.
Element x y z (fractional)
Cs  0.0000  0.0000  0.0000  6 Sn 3.93
Ag  0.5000  0.5000  0.5000  6 Sn 2.89
Sn  0.2066  0.2066  0.2066  3 Ag 2.89
Sn  0.7934  0.7934  0.7934  3 Ag 2.89

Record 11
CsAg3Sn3 after structural relaxation. Source: Alexandria via LeMat-Bulk, functional GGA-PBE.

Results
As for the total energy: -2.9935 eV per atom. The calculation puts the energy of formation from the pure elements at 0.0659 eV/atom. Its space-group type is R-3, No. 148. The total magnetic moment comes out at 0.0 μB/f.u.

Cell: 10.2071 10.2071 10.2071 Å, 43.06 43.06 43.06°
With the nearest neighbours (Å) after each atom.
Element x y z (fractional)
Cs  0.1627  0.1627  0.1627  6 Ag 3.90-4.27, 6 Sn 4.08-4.25, 3 Cs 4.33
Cs  0.8373  0.8373  0.8373  6 Ag 3.90-4.27, 6 Sn 4.08-4.25, 3 Cs 4.33
Ag  0.2010  0.6350  0.3682  4 Sn 2.81-3.02, 2 Ag 2.84
Ag  0.3650  0.6318  0.7990  4 Sn 2.81-3.02, 2 Ag 2.84
Ag  0.3682  0.2010  0.6350  4 Sn 2.81-3.02, 2 Ag 2.84
Ag  0.6318  0.7990  0.3650  4 Sn 2.81-3.02, 2 Ag 2.84
Ag  0.6350  0.3682  0.2010  4 Sn 2.81-3.02, 2 Ag 2.84
Ag  0.7990  0.3650  0.6318  4 Sn 2.81-3.02, 2 Ag 2.84
Sn  0.0826  0.5733  0.2231  4 Ag 2.81-3.02
Sn  0.2231  0.0826  0.5733  4 Ag 2.81-3.02
Sn  0.4267  0.7769  0.9174  4 Ag 2.81-3.02
Sn  0.5733  0.2231  0.0826  4 Ag 2.81-3.02
Sn  0.7769  0.9174  0.4267  4 Ag 2.81-3.02
Sn  0.9174  0.4267  0.7769  4 Ag 2.81-3.02

Q: Look up the total magnetic moment of the eighth one.
A: 0.0 μB/f.u.

Q: Number 7 is which compound?
A: CsAgSn3

Q: The lowest energy of formation from the pure elements belongs to which entry?
A: number 3